This record from Alexandria via LeMat-Bulk describes a relaxed structure of Dy2IrPb. The functional is PBE-GGA.

Calculated values
E above lowest polymorph	2.700	kcal/mol of atoms
DFT formation energy	-565	meV/atom
space-group type	R-3m
total moment	0.00	μB per cell

Cell lengths 3.8871, 3.8871, 25.4034 Å; angles 90.00, 90.00, 120.00 degrees
Sites, in units of the cell vectors:
Dy1 0.0000 0.0000 0.2299
Dy2 0.0000 0.0000 0.7701
Dy3 0.3333 0.6667 0.4368
Dy4 0.3333 0.6667 0.8966
Dy5 0.6667 0.3333 0.1034
Dy6 0.6667 0.3333 0.5632
Ir1 0.0000 0.0000 0.5000
Ir2 0.3333 0.6667 0.1667
Ir3 0.6667 0.3333 0.8333
Pb1 0.0000 0.0000 0.0000
Pb2 0.3333 0.6667 0.6667
Pb3 0.6667 0.3333 0.3333